A plane-wave DFT calculation with PBEsol was carried out for a relaxed structure of ZrFeMo2.

Cell: 2.765 2.765 9.502 Å, 81.63 81.63 60.00°
Last column: magnetic moment on the atom in μB.
Element x y z (fractional)
Fe 0.000 0.000 0.000  1.31
Mo 0.261 0.261 0.216  -0.10
Mo 0.739 0.739 0.784  -0.10
Zr 0.500 0.500 0.500  0.04

Properties
total moment = 0.29 μB per atom
E = -9.999 eV per atom

=====

A plane-wave DFT calculation with PBEsol was carried out for a relaxed structure of Zr9FeMo4.

Cell: 8.287 8.685 8.685 Å, 120.00 90.00 90.00°
Element x y z (fractional)
Fe 0.750 0.667 0.333
Fe 0.250 0.333 0.667
Mo 0.750 0.110 0.890
Mo 0.750 0.780 0.890
Mo 0.750 0.110 0.220
Mo 0.250 0.890 0.110
Mo 0.250 0.220 0.110
Mo 0.250 0.890 0.780
Mo 0.000 0.000 0.000
Mo 0.500 0.000 0.000
Zr 0.942 0.798 0.202
Zr 0.942 0.404 0.202
Zr 0.942 0.798 0.596
Zr 0.442 0.202 0.798
Zr 0.442 0.596 0.798
Zr 0.442 0.202 0.404
Zr 0.058 0.596 0.798
Zr 0.058 0.202 0.798
Zr 0.058 0.202 0.404
Zr 0.558 0.404 0.202
Zr 0.558 0.798 0.202
Zr 0.558 0.798 0.596
Zr 0.750 0.458 0.542
Zr 0.750 0.084 0.542
Zr 0.750 0.458 0.916
Zr 0.250 0.542 0.458
Zr 0.250 0.916 0.458
Zr 0.250 0.542 0.084

Properties
total moment = 0.00 μB per atom
E = -9.938 eV per atom

=====

A plane-wave DFT calculation with PBEsol was carried out for a relaxed structure of FeN.

Cell: 2.952 2.952 2.952 Å, 60.00 60.00 60.00°
Element x y z (fractional)
Fe 0.000 0.000 0.000
N 0.750 0.750 0.750

Properties
formation energy without anion corrections = -319 meV/atom
total moment = 0.00 μB per atom
E = -9.064 eV per atom

=====

A plane-wave DFT calculation with PBEsol was carried out for a relaxed structure of Fe2N.

Cell: 4.294 4.655 5.349 Å, 90.00 90.00 90.00°
Last column: magnetic moment on the atom in μB.
Element x y z (fractional)
Fe 0.748 0.916 0.877  1.36
Fe 0.248 0.084 0.623  1.36
Fe 0.752 0.416 0.623  1.36
Fe 0.252 0.584 0.877  1.36
Fe 0.748 0.416 0.123  1.36
Fe 0.248 0.584 0.377  1.36
Fe 0.752 0.916 0.377  1.36
Fe 0.252 0.084 0.123  1.36
N 0.500 0.250 0.863  -0.06
N 0.000 0.750 0.637  -0.06
N 0.500 0.750 0.137  -0.06
N 0.000 0.250 0.363  -0.06

Properties
formation energy without anion corrections = -203 meV/atom
total moment = 0.87 μB per atom
E = -9.021 eV per atom

=====

A plane-wave DFT calculation with PBEsol was carried out for a relaxed structure of FeN.

Cell: 3.711 3.711 3.711 Å, 90.00 90.00 90.00°
Last column: magnetic moment on the atom in μB.
Element x y z (fractional)
Fe 0.500 0.500 0.000  0.83
Fe 0.500 0.000 0.500  0.83
Fe 0.000 0.500 0.500  0.83
N 0.000 0.000 0.500  -0.02
N 0.000 0.500 0.000  -0.02
N 0.500 0.000 0.000  -0.02

Properties
formation energy without anion corrections = 77 meV/atom
total moment = 0.40 μB per atom
E = -8.668 eV per atom

=====

A plane-wave DFT calculation with PBEsol was carried out for a relaxed structure of Fe2N.

Cell: 4.295 4.640 4.640 Å, 120.00 90.00 90.00°
Last column: magnetic moment on the atom in μB.
Element x y z (fractional)
Fe 0.251 0.000 0.668  1.35
Fe 0.251 0.332 0.332  1.35
Fe 0.251 0.668 0.000  1.35
Fe 0.749 0.332 0.000  1.35
Fe 0.749 0.000 0.332  1.35
Fe 0.749 0.668 0.668  1.35
N 0.500 0.333 0.667  -0.07
N 0.500 0.667 0.333  -0.07
N 0.000 0.000 0.000  -0.06

Properties
formation energy without anion corrections = -201 meV/atom
total moment = 0.86 μB per atom
E = -9.019 eV per atom

=====

A plane-wave DFT calculation with PBEsol was carried out for a relaxed structure of FeN2.

Cell: 2.528 3.824 4.562 Å, 90.00 90.00 90.00°
Last column: magnetic moment on the atom in μB.
Element x y z (fractional)
Fe 0.500 0.000 0.000  0.13
Fe 0.000 0.500 0.500  0.13
N 0.500 0.869 0.404  -0.01
N 0.000 0.631 0.904  -0.01
N 0.500 0.131 0.596  -0.01
N 0.000 0.369 0.096  -0.01

Properties
formation energy without anion corrections = -74 meV/atom
total moment = 0.04 μB per atom
E = -8.747 eV per atom

=====

A plane-wave DFT calculation with PBEsol was carried out for a relaxed structure of Fe8N.

Cell: 4.994 4.994 4.994 Å, 76.04 67.71 112.29°
Last column: magnetic moment on the atom in μB.
Element x y z (fractional)
Fe 0.500 0.750 0.750  2.77
Fe 0.000 0.707 0.293  2.01
Fe 0.000 0.293 0.707  2.01
Fe 0.487 0.243 0.757  2.23
Fe 0.000 0.243 0.243  2.23
Fe 0.000 0.757 0.757  2.23
Fe 0.513 0.757 0.243  2.23
Fe 0.500 0.250 0.250  2.77
N 0.000 0.000 0.000  -0.07

Properties
formation energy without anion corrections = -35 meV/atom
total moment = 2.03 μB per atom
E = -8.950 eV per atom

=====

A plane-wave DFT calculation with PBEsol was carried out for a relaxed structure of NaFeN.

Cell: 3.482 4.897 5.897 Å, 114.53 107.17 90.00°
Element x y z (fractional)
Na 0.098 0.348 0.197
Na 0.902 0.652 0.803
Fe 0.325 0.075 0.651
Fe 0.675 0.925 0.349
N 0.855 0.105 0.710
N 0.145 0.895 0.290

Properties
formation energy without anion corrections = -180 meV/atom
total moment = 0.00 μB per atom
E = -6.477 eV per atom
excess energy over the best structure of this formula in the dataset = 7 meV/atom

=====

A plane-wave DFT calculation with PBEsol was carried out for a relaxed structure of NaFeN.

Cell: 2.965 2.965 9.754 Å, 90.00 90.00 120.00°
Element x y z (fractional)
Na 0.333 0.667 0.238
Na 0.667 0.333 0.738
Fe 0.000 0.000 0.482
Fe 0.000 0.000 0.982
N 0.667 0.333 0.435
N 0.333 0.667 0.935

Properties
formation energy without anion corrections = -187 meV/atom
total moment = 0.00 μB per atom
E = -6.484 eV per atom
excess energy over the best structure of this formula in the dataset = 0 meV/atom

=====

A plane-wave DFT calculation with PBEsol was carried out for a relaxed structure of NaFeSeN2.

Cell: 4.136 4.136 5.354 Å, 90.00 90.00 90.00°
Last column: magnetic moment on the atom in μB.
Element x y z (fractional)
Na 0.000 0.000 0.000  0.07
Fe 0.500 0.500 0.500  3.52
Se 0.000 0.000 0.500  0.38
N 0.000 0.500 0.000  1.61
N 0.500 0.000 0.000  1.61

Properties
formation energy without anion corrections = 2256 meV/atom
total moment = 1.79 μB per atom
E = -3.997 eV per atom

=====

A plane-wave DFT calculation with PBEsol was carried out for a relaxed structure of Nb4Fe2N.

Cell: 8.192 8.192 8.192 Å, 60.00 60.00 60.00°
Last column: magnetic moment on the atom in μB.
Element x y z (fractional)
Nb 0.125 0.125 0.125  -0.15
Nb 0.125 0.125 0.625  -0.15
Nb 0.125 0.625 0.125  -0.15
Nb 0.625 0.125 0.125  -0.15
Nb 0.686 0.686 0.314  0.11
Nb 0.314 0.314 0.686  0.11
Nb 0.686 0.314 0.686  0.11
Nb 0.314 0.686 0.314  0.11
Nb 0.686 0.314 0.314  0.11
Nb 0.314 0.686 0.686  0.11
Nb 0.564 0.564 0.936  0.11
Nb 0.936 0.936 0.564  0.11
Nb 0.564 0.936 0.564  0.11
Nb 0.936 0.564 0.936  0.11
Nb 0.564 0.936 0.936  0.11
Nb 0.936 0.564 0.564  0.11
Fe 0.920 0.920 0.920  1.78
Fe 0.920 0.920 0.241  1.78
Fe 0.920 0.241 0.920  1.78
Fe 0.241 0.920 0.920  1.78
Fe 0.330 0.330 0.330  1.78
Fe 0.330 0.330 0.009  1.78
Fe 0.330 0.009 0.330  1.78
Fe 0.009 0.330 0.330  1.78
N 0.625 0.625 0.625  -0.01
N 0.625 0.625 0.125  -0.01
N 0.625 0.125 0.625  -0.01
N 0.125 0.625 0.625  -0.01

Properties
formation energy without anion corrections = -489 meV/atom
total moment = 0.54 μB per atom
E = -10.451 eV per atom

=====

A plane-wave DFT calculation with PBEsol was carried out for a relaxed structure of Nb3Fe3N.

Cell: 7.902 7.902 7.902 Å, 60.00 60.00 60.00°
Element x y z (fractional)
Nb 0.700 0.700 0.300
Nb 0.300 0.300 0.700
Nb 0.700 0.300 0.700
Nb 0.300 0.700 0.300
Nb 0.700 0.300 0.300
Nb 0.300 0.700 0.700
Nb 0.550 0.550 0.950
Nb 0.950 0.950 0.550
Nb 0.550 0.950 0.550
Nb 0.950 0.550 0.950
Nb 0.550 0.950 0.950
Nb 0.950 0.550 0.550
Fe 0.125 0.125 0.125
Fe 0.125 0.125 0.625
Fe 0.125 0.625 0.125
Fe 0.625 0.125 0.125
Fe 0.925 0.925 0.925
Fe 0.925 0.925 0.225
Fe 0.925 0.225 0.925
Fe 0.225 0.925 0.925
Fe 0.325 0.325 0.325
Fe 0.325 0.325 0.025
Fe 0.325 0.025 0.325
Fe 0.025 0.325 0.325
N 0.625 0.625 0.625
N 0.625 0.625 0.125
N 0.625 0.125 0.625
N 0.125 0.625 0.625

Properties
formation energy without anion corrections = -529 meV/atom
total moment = 0.00 μB per atom
E = -10.226 eV per atom

=====

A plane-wave DFT calculation with PBEsol was carried out for a relaxed structure of NbFeNO2.

Cell: 3.907 3.907 4.112 Å, 90.00 90.00 90.00°
Last column: magnetic moment on the atom in μB.
Element x y z (fractional)
Nb 0.000 0.000 0.000  -0.04
Fe 0.500 0.500 0.500  3.51
O 0.000 0.500 0.000  0.09
O 0.500 0.000 0.000  0.09
N 0.000 0.000 0.500  0.15

Properties
formation energy without anion corrections = -681 meV/atom
total moment = 0.80 μB per atom
E = -8.443 eV per atom

=====

A plane-wave DFT calculation with PBEsol was carried out for a relaxed structure of NbFeN2O.

Cell: 3.899 4.044 4.044 Å, 90.00 90.00 90.00°
Last column: magnetic moment on the atom in μB.
Element x y z (fractional)
Nb 0.000 0.000 0.000  -0.02
Fe 0.500 0.500 0.500  3.59
O 0.500 0.000 0.000  0.17
N 0.000 0.000 0.500  0.24
N 0.000 0.500 0.000  0.24

Properties
formation energy without anion corrections = 94 meV/atom
total moment = 0.90 μB per atom
E = -8.323 eV per atom

=====

A plane-wave DFT calculation with PBEsol was carried out for a relaxed structure of NbFeSeN2.

Cell: 3.668 3.668 4.634 Å, 90.00 90.00 90.00°
Last column: magnetic moment on the atom in μB.
Element x y z (fractional)
Nb 0.500 0.500 0.500  0.96
Fe 0.000 0.000 0.000  0.94
Se 0.000 0.000 0.500  -0.02
N 0.000 0.500 0.000  -0.12
N 0.500 0.000 0.000  -0.12

Properties
formation energy without anion corrections = 663 meV/atom
total moment = 0.35 μB per atom
E = -7.474 eV per atom

=====

A plane-wave DFT calculation with PBEsol was carried out for a relaxed structure of NbFeTeN2.

Cell: 3.776 3.776 4.999 Å, 90.00 90.00 90.00°
Last column: magnetic moment on the atom in μB.
Element x y z (fractional)
Nb 0.500 0.500 0.500  1.24
Te 0.000 0.000 0.500  -0.04
Fe 0.000 0.000 0.000  1.15
N 0.000 0.500 0.000  -0.18
N 0.500 0.000 0.000  -0.18

Properties
formation energy without anion corrections = 1006 meV/atom
total moment = 0.42 μB per atom
E = -7.067 eV per atom
excess energy over the best structure of this formula in the dataset = 352 meV/atom

=====

A plane-wave DFT calculation with PBEsol was carried out for a relaxed structure of NbFeTeN2.

Cell: 3.971 3.971 5.750 Å, 90.00 90.00 90.00°
Last column: magnetic moment on the atom in μB.
Element x y z (fractional)
Nb 0.000 0.000 0.000  0.00
Te 0.000 0.000 0.500  0.05
Fe 0.500 0.500 0.500  3.25
N 0.000 0.500 0.000  0.13
N 0.500 0.000 0.000  0.13

Properties
formation energy without anion corrections = 654 meV/atom
total moment = 0.78 μB per atom
E = -7.419 eV per atom
excess energy over the best structure of this formula in the dataset = 0 meV/atom

=====

A plane-wave DFT calculation with PBEsol was carried out for a relaxed structure of NbZnFe2N.

Cell: 4.210 4.210 4.762 Å, 90.00 90.00 90.00°
Last column: magnetic moment on the atom in μB.
Element x y z (fractional)
Nb 0.000 0.000 0.500  -0.50
N 0.500 0.500 0.500  0.36
Zn 0.000 0.000 0.000  -0.02
Fe 0.000 0.500 0.000  2.89
Fe 0.500 0.000 0.000  2.89

Properties
formation energy without anion corrections = 2192 meV/atom
total moment = 1.14 μB per atom
E = -5.580 eV per atom

=====

A plane-wave DFT calculation with PBEsol was carried out for a relaxed structure of Fe2NiPdN.

Cell: 3.769 3.785 3.785 Å, 90.00 90.00 90.00°
Last column: magnetic moment on the atom in μB.
Element x y z (fractional)
Ni 0.500 0.000 0.000  0.49
Fe 0.000 0.000 0.500  2.59
Fe 0.000 0.500 0.000  2.59
Pd 0.500 0.500 0.500  0.34
N 0.000 0.000 0.000  0.01

Properties
formation energy without anion corrections = -166 meV/atom
total moment = 1.20 μB per atom
E = -7.880 eV per atom

=====

A plane-wave DFT calculation with PBEsol was carried out for a relaxed structure of FeN2O2.

Cell: 3.424 3.424 4.045 Å, 90.00 90.00 90.00°
Last column: magnetic moment on the atom in μB.
Element x y z (fractional)
Fe 0.000 0.000 0.000  -0.16
O 0.000 0.500 0.000  -0.01
O 0.500 0.000 0.000  -0.01
N 0.500 0.500 0.500  1.47
N 0.000 0.000 0.500  -0.91

Properties
formation energy without anion corrections = 1198 meV/atom
total moment = 0.12 μB per atom
E = -6.106 eV per atom

=====

A plane-wave DFT calculation with PBEsol was carried out for a relaxed structure of Fe2PNO.

Cell: 3.720 3.703 3.703 Å, 90.00 90.00 90.00°
Last column: magnetic moment on the atom in μB.
Element x y z (fractional)
P 0.500 0.500 0.500  -0.06
Fe 0.000 0.000 0.500  1.81
Fe 0.000 0.500 0.000  1.81
O 0.500 0.000 0.000  0.15
N 0.000 0.000 0.000  -0.06

Properties
formation energy without anion corrections = 519 meV/atom
total moment = 0.72 μB per atom
E = -6.980 eV per atom

=====

A plane-wave DFT calculation with PBEsol was carried out for a relaxed structure of RbFeNO2.

Cell: 3.836 3.836 3.962 Å, 90.00 90.00 90.00°
Last column: magnetic moment on the atom in μB.
Element x y z (fractional)
O 0.000 0.500 0.000  0.39
O 0.500 0.000 0.000  0.39
Fe 0.000 0.000 0.000  2.38
Rb 0.500 0.500 0.500  0.07
N 0.000 0.000 0.500  1.03

Properties
formation energy without anion corrections = -286 meV/atom
total moment = 0.98 μB per atom
E = -6.089 eV per atom

=====

A plane-wave DFT calculation with PBEsol was carried out for a relaxed structure of RbFeNO2.

Cell: 4.226 4.226 4.220 Å, 90.00 90.00 90.00°
Last column: magnetic moment on the atom in μB.
Element x y z (fractional)
O 0.000 0.500 0.000  0.23
O 0.500 0.000 0.000  0.23
Fe 0.500 0.500 0.500  3.61
Rb 0.000 0.000 0.000  0.04
N 0.000 0.000 0.500  0.63

Properties
formation energy without anion corrections = 2078 meV/atom
total moment = 1.03 μB per atom
E = -3.724 eV per atom